KCdFeF6, optimized geometry, DFT GGA+U; raw total energy = -4.233 eV per atom; symmetry = P-31c (163); D(E_F) = 13.289 states/eV per cell
1.0
5.6741 0.0000 0.0000
-2.8370 4.9139 0.0000
0.0000 0.0000 10.7970
K Cd Fe F
2 2 2 12
direct
0.0000 0.0000 0.0000
0.0000 0.0000 0.5000
0.3333 0.6667 0.2500
0.6667 0.3333 0.7500
0.3333 0.6667 0.7500
0.6667 0.3333 0.2500
0.0468 0.3977 0.6498
0.0468 0.6491 0.8502
0.3509 0.3977 0.8502
0.3509 0.9532 0.6498
0.3977 0.0468 0.1498
0.3977 0.3509 0.3502
0.6023 0.6491 0.6498
0.6023 0.9532 0.8502
0.6491 0.0468 0.3502
0.6491 0.6023 0.1498
0.9532 0.3509 0.1498
0.9532 0.6023 0.3502